No. 1
This record from Alexandria via LeMat-Bulk describes K2NaLi2 after structural relaxation. The functional is PBE.

Summary:
E_form, eV/atom: 0.123

Cell lengths 8.4684, 8.4684, 6.0510 Å; angles 90.00, 90.00, 90.00 degrees
Last column: nearest neighbours and their distance in Å.
Space group P4/mbm (No. 127)
One atom of each set of equivalent atoms:
K 0.1791 0.3209 0.0000  6 Li 3.83-4.00
Na 0.0000 0.0000 0.5000  4 Li 3.35
Li 0.1253 0.6253 0.5000  1 Li 3.00, 2 Na 3.35

No. 2
This record from Alexandria via LeMat-Bulk describes K2Na2Li after structural relaxation. The functional is PBE.

Summary:
E_form, eV/atom: 0.180

Cell lengths 10.9870, 10.9870, 4.0948 Å; angles 90.00, 90.00, 90.00 degrees
Last column: nearest neighbours and their distance in Å.
Space group P4/mbm (No. 127)
One atom of each set of equivalent atoms:
K 0.1772 0.3228 0.0000  6 Na 3.76-3.91, 2 Li 4.05, 2 K 4.09
Na 0.1201 0.6201 0.5000  3 Na 3.73-4.09, 6 K 3.76-3.91
Li 0.0000 0.0000 0.0000  4 K 4.05, 2 Li 4.09

No. 3
This record from Alexandria via LeMat-Bulk describes KNaLi2 after structural relaxation. The functional is PBE.

Summary:
E_form, eV/atom: 0.168

Cell lengths 6.5851, 3.7662, 11.9085 Å; angles 90.00, 101.84, 90.00 degrees
Last column: nearest neighbours and their distance in Å.
Space group Cm (No. 8)
One atom of each set of equivalent atoms:
K 0.0000 0.0000 0.0000  6 K 3.77-3.79, 6 Li 3.84-3.92
Na 0.1679 0.0000 0.5003  6 Li 3.38-3.43, 2 Na 3.77
Li 0.0753 0.5000 0.7252  3 Na 3.38-3.43, 2 Li 3.77
Li 0.2608 0.5000 0.2752  3 Na 3.38-3.43, 2 Li 3.77

No. 4
This record from Alexandria via LeMat-Bulk describes K2Na4Li after structural relaxation. The functional is PBE.

Summary:
E_form, eV/atom: 0.114

Cell lengths 5.8836, 5.8836, 19.6603 Å; angles 90.00, 90.00, 90.00 degrees
Last column: nearest neighbours and their distance in Å.
Space group I4/mmm (No. 139)
One atom of each set of equivalent atoms:
K 0.0000 0.0000 0.1410  9 Na 3.97-4.17
Na 0.0000 0.0000 0.3428  1 Li 3.09
Na 0.0000 0.5000 0.0000  2 Li 2.94
Li 0.0000 0.0000 0.5000  6 Na 2.94-3.09

No. 5
This record from Alexandria via LeMat-Bulk describes KNa10Li2 after structural relaxation. The functional is PBE.

Summary:
E_form, eV/atom: 0.036

Cell lengths 6.6242, 9.0890, 9.1302 Å; angles 83.50, 69.44, 70.16 degrees
Last column: nearest neighbours and their distance in Å.
Space group P-1 (No. 2)
One atom of each set of equivalent atoms:
K 0.0000 0.0000 0.0000  16 Na 4.17-4.63, 4 Li 4.57-4.60
Na 0.0000 0.5000 0.0000  6 Na 3.31-3.60
Na 0.0155 0.3421 0.6340  2 Li 3.51-3.58, 6 Na 3.55-3.82
Na 0.2830 0.2086 0.2266  2 Li 3.38-3.39, 6 Na 3.55-3.71
Na 0.3493 0.6590 0.6343  2 Li 3.53-3.57, 6 Na 3.55-3.81
Na 0.4902 0.7915 0.2267  2 Li 3.33-3.40, 6 Na 3.51-3.71
Na 0.5000 0.5000 0.0000  6 Na 3.31-3.55
Li 0.0000 0.0000 0.5000  2 Li 3.31, 8 Na 3.38-3.57
Li 0.5000 0.0000 0.5000  2 Li 3.31, 8 Na 3.33-3.58

No. 6
This record from Alexandria via LeMat-Bulk describes K2NaLi2 after structural relaxation. The functional is PBE.

Summary:
E_form, eV/atom: 0.115

Cell lengths 4.1449, 4.1449, 25.2643 Å; angles 90.00, 90.00, 90.00 degrees
Last column: nearest neighbours and their distance in Å.
Space group I4/mmm (No. 139)
One atom of each set of equivalent atoms:
K 0.0000 0.0000 0.1216  4 Li 3.85, 4 K 4.14, 4 Na 4.25
Na 0.0000 0.0000 0.5000  4 Na 4.14, 8 K 4.25
Li 0.0000 0.5000 0.2500  4 Li 2.93